Entry from the Alexandria database: a geometry-optimized LiPrLuIn structure (PBE).

The space group is F-43m (No. 216) and the conventional cell measures 7.540, 7.540 and 7.540 Å, with angles of 90.00, 90.00 and 90.00 degrees. The distinct sites, in fractional coordinates, are Li at (0.000, 0.000, 0.000), Pr at (0.250, 0.250, 0.250), Lu at (0.250, 0.250, 0.750) and In at (0.000, 0.000, 0.500).

The formation energy is -0.25 eV per atom. The volume comes out at 429 Å³ per cell. The value obtained for the total DFT energy (no corrections) is -3.734 eV/atom. The value obtained for the magnetic moment is 0.0 μB/f.u.